First-principles (GGA-PBE) data for crystalline Dy3Ni8Au at its relaxed geometry, as listed in Alexandria.

As for the density of states at the Fermi level: 0.926 states/eV/atom. The magnetic moment comes out at 0.00 Bohr magnetons per cell. The energy of formation comes out at -443 meV per atom. As for the uncorrected energy: -5.721 eV/atom.

Structure (extended XYZ):
```
12
Lattice="5.000 0.000 0.000 2.500 4.330 0.000 2.500 1.443 8.200" Properties=species:S:1:pos:R:3 pbc="T T T"
Ni 6.263 2.157 1.518
Ni 7.500 4.330 7.679
Ni 6.254 5.049 5.634
Ni 5.000 4.346 1.518
Ni 3.736 2.157 1.518
Ni 2.500 1.443 3.581
Ni 7.500 2.891 5.634
Ni 8.746 5.049 5.634
Dy 5.000 2.887 3.925
Dy 7.500 4.330 0.218
Dy 5.000 2.887 7.124
Au 7.500 4.330 3.167
```